[1]
Compound: Nd3Er3Mg
Source: Alexandria via LeMat-Bulk
Functional: PBE
Structure: relaxed

Calculated values
Space-group type: R-3, No. 148
Calculated total energy: -4.143 eV/atom
ΔE to the lowest computed polymorph: 0.070 eV per atom
N(E_F): 1.383 states/eV per atom
Formation enthalpy at 0 K: 0.083 eV per atom

Lattice parameters (Å, degrees): 14.4592 14.4592 14.4592 24.84 24.84 24.84
Last column: nearest neighbours and their distance in Å.
Atoms (fractional coordinates):
Nd: 0.0652 0.7322 0.3979  2 Mg 3.43, 3 Er 3.53-3.54, 6 Nd 3.59
Nd: 0.2678 0.6021 0.9348  2 Mg 3.43, 3 Er 3.53-3.54, 6 Nd 3.59
Nd: 0.3979 0.0652 0.7322  2 Mg 3.43, 3 Er 3.53-3.54, 6 Nd 3.59
Nd: 0.6021 0.9348 0.2678  2 Mg 3.43, 3 Er 3.53-3.54, 6 Nd 3.59
Nd: 0.7322 0.3979 0.0652  2 Mg 3.43, 3 Er 3.53-3.54, 6 Nd 3.59
Nd: 0.9348 0.2678 0.6021  2 Mg 3.43, 3 Er 3.53-3.54, 6 Nd 3.59
Er: 0.1330 0.4661 0.8004  9 Er 3.49-3.60, 3 Nd 3.53-3.54
Er: 0.1996 0.8670 0.5339  9 Er 3.49-3.60, 3 Nd 3.53-3.54
Er: 0.4661 0.8004 0.1330  9 Er 3.49-3.60, 3 Nd 3.53-3.54
Er: 0.5339 0.1996 0.8670  9 Er 3.49-3.60, 3 Nd 3.53-3.54
Er: 0.8004 0.1330 0.4661  9 Er 3.49-3.60, 3 Nd 3.53-3.54
Er: 0.8670 0.5339 0.1996  9 Er 3.49-3.60, 3 Nd 3.53-3.54
Mg: 0.3333 0.3333 0.3333  6 Nd 3.43, 3 Mg 3.59
Mg: 0.6667 0.6667 0.6667  6 Nd 3.43, 3 Mg 3.59

=====

[2]
Compound: Al2CdO
Source: Alexandria via LeMat-Bulk
Functional: PBE
Structure: relaxed

Calculated values
Raw formation energy: -0.91 eV per atom
Space-group type: Pmm2, No. 25
Calculated total energy: -4.252 eV/atom
ΔE to the lowest computed polymorph: 0.089 eV per atom
N(E_F): 0.213 states/eV per atom

Lattice parameters (Å, degrees): 2.9056 4.0592 6.3713 90.00 90.00 90.00
Last column: nearest neighbours and their distance in Å.
Atoms (fractional coordinates):
Al: 0.0000 0.0000 0.0000  2 O 1.83
Al: 0.5000 0.0000 0.4654  1 O 1.85
Cd: 0.0000 0.5000 0.6995  6 Al 2.79-2.91, 2 Cd 2.91
O: 0.5000 0.0000 0.1754  3 Al 1.83-1.85

=====

[3]
Compound: HoTlAg2Cl6
Source: Alexandria via LeMat-Bulk
Functional: PBE
Structure: relaxed

Calculated values
Raw formation energy: -1.29 eV per atom
Space-group type: R3, No. 146
Calculated total energy: -3.658 eV/atom
N(E_F): 0.000 states/eV per atom

Lattice parameters (Å, degrees): 7.6871 7.6871 7.6871 55.08 55.08 55.08
Last column: nearest neighbours and their distance in Å.
Atoms (fractional coordinates):
Ho: 0.0000 0.0000 0.0000  6 Cl 2.65
Tl: 0.5196 0.5196 0.5196  6 Cl 3.12-3.33
Ag: 0.3260 0.3260 0.3260  6 Cl 2.75-2.87
Ag: 0.8061 0.8061 0.8061  6 Cl 2.75-2.93
Cl: 0.0651 0.3926 0.7520  1 Ho 2.65, 2 Ag 2.75-2.87
Cl: 0.1650 0.9760 0.5998  1 Ho 2.65, 2 Ag 2.75-2.93
Cl: 0.3926 0.7520 0.0651  1 Ho 2.65, 2 Ag 2.75-2.87
Cl: 0.5998 0.1650 0.9760  1 Ho 2.65, 2 Ag 2.75-2.93
Cl: 0.7520 0.0651 0.3926  1 Ho 2.65, 2 Ag 2.75-2.87
Cl: 0.9760 0.5998 0.1650  1 Ho 2.65, 2 Ag 2.75-2.93

=====

[4]
Compound: Be2AgBr
Source: Alexandria via LeMat-Bulk
Functional: PBE
Structure: relaxed

Calculated values
Raw formation energy: 0.63 eV per atom
Space-group type: I-4m2, No. 119
Calculated total energy: -2.364 eV/atom
ΔE to the lowest computed polymorph: 0.452 eV per atom
N(E_F): 0.403 states/eV per atom

Lattice parameters (Å, degrees): 6.6084 6.6084 6.6084 150.37 150.37 42.39
Last column: nearest neighbours and their distance in Å.
Atoms (fractional coordinates):
Be: 0.0000 0.0000 0.0000  4 Ag 2.39
Be: 0.7500 0.2500 0.5000  4 Br 2.39
Ag: 0.5000 0.5000 0.0000  4 Be 2.39
Br: 0.2500 0.7500 0.5000  4 Be 2.39

=====

[5]
Compound: La6Sm8Mg
Source: Alexandria via LeMat-Bulk
Functional: PBE
Structure: relaxed

Calculated values
Space-group type: P-3, No. 147
Calculated total energy: -4.484 eV/atom
N(E_F): 1.254 states/eV per atom
Formation enthalpy at 0 K: 0.110 eV per atom

Lattice parameters (Å, degrees): 9.6422 9.6422 6.5421 90.00 90.00 120.00
Last column: nearest neighbours and their distance in Å.
Atoms (fractional coordinates):
La: 0.0885 0.6423 0.3217  1 La 3.35, 5 Sm 3.45-3.67
La: 0.3577 0.4462 0.3217  1 La 3.35, 5 Sm 3.45-3.67
La: 0.4462 0.0885 0.6783  1 La 3.35, 5 Sm 3.45-3.67
La: 0.5538 0.9115 0.3217  1 La 3.35, 5 Sm 3.45-3.67
La: 0.6423 0.5538 0.6783  1 La 3.35, 5 Sm 3.45-3.67
La: 0.9115 0.3577 0.6783  1 La 3.35, 5 Sm 3.45-3.67
Sm: 0.0405 0.7741 0.8162  1 Mg 3.17, 3 Sm 3.40-3.47, 1 La 3.45
Sm: 0.2259 0.2664 0.8162  1 Mg 3.17, 3 Sm 3.40-3.47, 1 La 3.45
Sm: 0.2664 0.0405 0.1838  1 Mg 3.17, 3 Sm 3.40-3.47, 1 La 3.45
Sm: 0.3333 0.6667 0.8527  3 Sm 3.47, 6 La 3.81-3.82
Sm: 0.6667 0.3333 0.1473  3 Sm 3.47, 6 La 3.81-3.82
Sm: 0.7336 0.9595 0.8162  1 Mg 3.17, 3 Sm 3.40-3.47, 1 La 3.45
Sm: 0.7741 0.7336 0.1838  1 Mg 3.17, 3 Sm 3.40-3.47, 1 La 3.45
Sm: 0.9595 0.2259 0.1838  1 Mg 3.17, 3 Sm 3.40-3.47, 1 La 3.45
Mg: 0.0000 0.0000 0.5000  6 Sm 3.17

=====

[6]
Compound: RbCd
Source: Alexandria via LeMat-Bulk
Functional: PBE
Structure: relaxed

Calculated values
Space-group type: C2/m, No. 12
Calculated total energy: -0.947 eV/atom
N(E_F): 0.476 states/eV per atom
Formation enthalpy at 0 K: -0.005 eV per atom

Lattice parameters (Å, degrees): 6.6948 6.6948 4.1044 90.08 90.08 79.40
Last column: nearest neighbours and their distance in Å.
Atoms (fractional coordinates):
Rb: 0.2093 0.2093 0.4974  8 Cd 3.92-4.08, 5 Rb 4.10-4.36
Rb: 0.7907 0.7907 0.5026  8 Cd 3.92-4.08, 5 Rb 4.10-4.36
Cd: 0.3256 0.6744 0.0000  1 Cd 2.98
Cd: 0.6744 0.3256 0.0000  1 Cd 2.98

=====

[7]
Compound: TiFeSiIr
Source: Alexandria via LeMat-Bulk
Functional: PBE
Structure: relaxed

Calculated values
Raw formation energy: -0.68 eV per atom
Space-group type: F-43m, No. 216
Calculated total energy: -8.339 eV/atom
N(E_F): 0.465 states/eV per atom

Lattice parameters (Å, degrees): 4.1983 4.1983 4.1983 60.00 60.00 60.00
Last column: nearest neighbours and their distance in Å.
Atoms (fractional coordinates):
Ti: 0.0000 0.0000 0.0000  4 Ir 2.57, 4 Fe 2.57
Fe: 0.7500 0.7500 0.7500  4 Ti 2.57, 4 Si 2.57
Si: 0.5000 0.5000 0.5000  4 Fe 2.57, 4 Ir 2.57
Ir: 0.2500 0.2500 0.2500  4 Si 2.57, 4 Ti 2.57

=====

[8]
Compound: CuReO2
Source: Alexandria via LeMat-Bulk
Functional: PBE
Structure: relaxed

Calculated values
Raw formation energy: -0.72 eV per atom
Space-group type: R-3m, No. 166
Calculated total energy: -7.330 eV/atom
ΔE to the lowest computed polymorph: 0.000 eV per atom
N(E_F): 0.516 states/eV per atom

Lattice parameters (Å, degrees): 6.7556 6.7556 6.7556 23.74 23.74 23.74
Last column: nearest neighbours and their distance in Å.
Atoms (fractional coordinates):
Cu: 0.0000 0.0000 0.0000  2 O 1.90
Re: 0.5000 0.5000 0.5000  6 O 2.12
O: 0.0965 0.0965 0.0965  1 Cu 1.90, 3 Re 2.12
O: 0.9035 0.9035 0.9035  1 Cu 1.90, 3 Re 2.12

=====

[9]
Compound: KVCuSe2
Source: Alexandria via LeMat-Bulk
Functional: PBE
Structure: relaxed

Calculated values
Raw formation energy: -0.59 eV per atom
Space-group type: Cmme, No. 67
Calculated total energy: -4.843 eV/atom
N(E_F): 0.641 states/eV per atom

Lattice parameters (Å, degrees): 7.9069 7.9069 5.3428 90.00 90.00 137.87
Last column: nearest neighbours and their distance in Å.
Atoms (fractional coordinates):
K: 0.2500 0.7500 0.7749  8 Se 3.27-3.49
K: 0.7500 0.2500 0.2251  8 Se 3.27-3.49
V: 0.2500 0.2500 0.5000  4 Se 2.48
V: 0.7500 0.7500 0.5000  4 Se 2.48
Cu: 0.0000 0.0000 0.0000  2 Se 2.30
Cu: 0.5000 0.5000 0.0000  2 Se 2.30
Se: 0.1149 0.8851 0.2909  1 Cu 2.30, 2 V 2.48
Se: 0.3851 0.6149 0.2909  1 Cu 2.30, 2 V 2.48
Se: 0.6149 0.3851 0.7091  1 Cu 2.30, 2 V 2.48
Se: 0.8851 0.1149 0.7091  1 Cu 2.30, 2 V 2.48

=====

[10]
Compound: Cd8NiAg2
Source: Alexandria via LeMat-Bulk
Functional: PBE
Structure: relaxed

Calculated values
Space-group type: Immm, No. 71
Calculated total energy: -1.704 eV/atom
N(E_F): 0.346 states/eV per atom
Formation enthalpy at 0 K: 0.006 eV per atom

Lattice parameters (Å, degrees): 8.0926 8.0926 8.0926 146.03 130.21 61.65
Last column: nearest neighbours and their distance in Å.
Atoms (fractional coordinates):
Cd: 0.1358 0.3648 0.7711  1 Ni 2.64, 2 Ag 2.92
Cd: 0.1764 0.1764 0.0000  8 Cd 3.02-3.05, 2 Ag 3.03
Cd: 0.2593 0.0000 0.2593  2 Ni 2.95, 7 Cd 3.02-3.28, 2 Ag 3.07
Cd: 0.4063 0.6352 0.7711  1 Ni 2.64, 2 Ag 2.92
Cd: 0.5937 0.3648 0.2289  1 Ni 2.64, 2 Ag 2.92
Cd: 0.7407 0.0000 0.7407  2 Ni 2.95, 7 Cd 3.02-3.28, 2 Ag 3.07
Cd: 0.8236 0.8236 0.0000  8 Cd 3.02-3.05, 2 Ag 3.03
Cd: 0.8642 0.6352 0.2289  1 Ni 2.64, 2 Ag 2.92
Ni: 0.0000 0.5000 0.5000  4 Cd 2.64
Ag: 0.3133 0.8133 0.5000  10 Cd 2.92-3.09
Ag: 0.6867 0.1867 0.5000  10 Cd 2.92-3.09

=====

[11]
Compound: TlFeAs2
Source: Alexandria via LeMat-Bulk
Functional: PBE
Structure: relaxed

Calculated values
Space-group type: P4mm, No. 99
Calculated total energy: -4.762 eV/atom
ΔE to the lowest computed polymorph: 0.234 eV per atom
N(E_F): 0.797 states/eV per atom
Formation enthalpy at 0 K: 0.270 eV per atom

Lattice parameters (Å, degrees): 3.2682 3.2682 7.5361 90.00 90.00 90.00
Last column: nearest neighbours and their distance in Å.
Atoms (fractional coordinates):
Tl: 0.0000 0.0000 0.0000  5 As 3.17-3.49, 4 Tl 3.27, 4 Fe 3.34
Fe: 0.5000 0.5000 0.6792  5 As 2.43-2.51
As: 0.0000 0.0000 0.5797  4 Fe 2.43
As: 0.5000 0.5000 0.3467  1 Fe 2.51

=====

[12]
Compound: TaHI2
Source: Alexandria via LeMat-Bulk
Functional: PBE
Structure: relaxed

Calculated values
Space-group type: P1, No. 1
Calculated total energy: -4.788 eV/atom
N(E_F): 0.296 states/eV per atom

Lattice parameters (Å, degrees): 3.9000 7.0523 8.9485 79.66 81.12 74.00
Last column: nearest neighbours and their distance in Å.
Atoms (fractional coordinates):
Ta: 0.0000 0.0000 0.0000  3 H 1.90-2.00
Ta: 0.3959 0.2802 0.8998  3 H 1.87-2.07
H: 0.5174 0.0020 0.9482  3 Ta 1.87-2.00
H: 0.9460 0.2211 0.8414  3 Ta 1.90-2.07
I: 0.2099 0.7256 0.7966  2 Ta 2.77-3.03
I: 0.5079 0.2715 0.5946  1 Ta 2.71, 2 H 2.91
I: 0.7716 0.3702 0.1245  1 H 2.83, 3 Ta 2.88-2.91
I: 0.9972 0.7999 0.2866  1 Ta 2.70